Density functional theory data (PBE) for a relaxed SrPmGaSn crystal.

Cell and atoms, written as POSCAR:
```
SrPmGaSn
1.0
5.472 0.000 0.000
2.736 4.739 0.000
2.736 1.580 4.468
Sn Sr Ga Pm
1 1 1 1
direct
0.250 0.250 0.250
0.000 0.000 0.000
0.750 0.750 0.750
0.500 0.500 0.500
```

Summary:
Its space-group type is F-43m, No. 216. The value obtained for the formation energy is -475.5 meV/atom. The value obtained for the magnetization is 0.000 μB per formula unit. As for the calculated volume: 29.0 A^3/atom.

=====

Density functional theory data (PBE) for a relaxed AlZnN3 crystal.

Cell and atoms, written as POSCAR:
```
AlZnN3
1.0
3.739 0.000 0.000
0.000 3.739 0.000
0.000 0.000 3.739
Zn N Al
1 3 1
direct
0.500 0.500 0.500
0.500 0.000 0.000
0.000 0.500 0.000
0.000 0.000 0.500
0.000 0.000 0.000
```

Summary:
Its space-group type is Pm-3m, No. 221. The value obtained for the magnetization is 0.002 μB per formula unit. The value obtained for the total energy is -4.913 eV/atom. As for the calculated volume: 10.5 A^3/atom.

=====

Density functional theory data (PBE) for a relaxed TeHRh crystal.

Cell and atoms, written as POSCAR:
```
TeHRh
1.0
-1.088 1.940 2.221
-1.846 -0.827 -2.406
-1.744 -4.142 2.762
Te Rh H
1 1 1
direct
0.000 0.000 0.000
0.000 0.000 0.500
0.667 0.333 0.500
```

Summary:
As for the energy above the lowest structure with this stoichiometry: 42.0 kJ/mol of formula units. Its space-group type is P-6m2, No. 187. The value obtained for the magnetization is 0.000 μB per formula unit. As for the calculated volume: 15.0 A^3/atom.

=====

Density functional theory data (PBE) for a relaxed CdSiBr2 crystal.

Cell and atoms, written as POSCAR:
```
CdSiBr2
1.0
3.813 0.000 0.000
0.000 3.297 0.233
0.000 2.488 9.212
Si Cd Br
1 1 2
direct
0.500 0.750 0.750
0.500 0.250 0.250
0.000 0.942 0.542
0.000 0.558 0.958
```

Summary:
As for the energy above the lowest structure with this stoichiometry: 72.6 kJ/mol of formula units. Its space-group type is P2/m, No. 10. The value obtained for the magnetization is 0.000 μB per formula unit. As for the calculated volume: 28.4 A^3/atom.